# 1
A plane-wave DFT calculation with PBE was carried out for KNbHgBr6 after structural relaxation.

Cell: 8.1539 8.1539 13.0482 Å, 90.00 90.00 120.00°
With the nearest neighbours (Å) after each atom.
Space group P-31c (No. 163)
Inequivalent atoms, fractional coordinates:
K  0.3333  0.6667  0.2500 (multiplicity 2)  6 Br 3.37
Nb  0.3333  0.6667  0.7500 (multiplicity 2)  6 Br 2.56
Hg  0.0000  0.0000  0.0000 (multiplicity 2)  6 Br 3.63
Br  0.0724  0.4196  0.6353 (multiplicity 12)  1 Nb 2.56

Its total energy is -29.94 eV/f.u.

=====

# 2
A plane-wave DFT calculation with PBE was carried out for KNpHgBr6 after structural relaxation.

Cell: 8.0790 14.0513 7.2313 Å, 90.00 90.09 90.00°
With the nearest neighbours (Å) after each atom.
Space group C2 (No. 5)
Inequivalent atoms, fractional coordinates:
K  0.0000  0.0000  0.0000 (multiplicity 2)  6 Br 3.36
Np  0.0000  0.3326  0.0000 (multiplicity 2)  6 Br 2.71
Hg  0.0000  0.6658  0.5000 (multiplicity 2)  6 Br 3.62
Br  0.1342  0.1963  0.7822 (multiplicity 4)  1 Np 2.71
Br  0.1368  0.4680  0.7823 (multiplicity 4)  1 Np 2.71
Br  0.2264  0.8334  0.7836 (multiplicity 4)  1 Np 2.71

The calculation puts the density of states at the Fermi level at 15.70 states/eV per cell. Its total energy is -34.39 eV/f.u.

=====

# 3
A plane-wave DFT calculation with PBE was carried out for KHgBr3O after structural relaxation.

Cell: 4.2899 16.3127 11.7556 Å, 90.00 90.00 90.00°
With the nearest neighbours (Å) after each atom.
Space group Cmc2_1 (No. 36)
Inequivalent atoms, fractional coordinates:
K  0.0000  0.2450  0.0000 (multiplicity 4)  2 O 2.64
Hg  0.0000  0.4968  0.8069 (multiplicity 4)  4 Br 2.57-2.79
Br  0.0000  0.0840  0.4092 (multiplicity 4)  2 Hg 2.79
Br  0.0000  0.3467  0.2790 (multiplicity 4)  1 Hg 2.57
Br  0.0000  0.4219  0.5948 (multiplicity 4)  1 O 1.78
O  0.0000  0.3130  0.6028 (multiplicity 4)  1 Br 1.78

The energy above the most stable polymorph in this dataset comes out at 0.024 eV/atom.

=====

# 4
A plane-wave DFT calculation with PBE was carried out for KHgBr3O after structural relaxation.

Cell: 4.0868 17.7293 9.6741 Å, 90.00 90.00 90.00°
With the nearest neighbours (Å) after each atom.
Space group Cmc2_1 (No. 36)
Inequivalent atoms, fractional coordinates:
K  0.0000  0.2105  0.0000 (multiplicity 4)  1 O 2.66
Hg  0.0000  0.4907  0.1841 (multiplicity 4)  4 Br 2.59-2.78
Br  0.0000  0.0171  0.9950 (multiplicity 4)  2 Hg 2.78
Br  0.0000  0.3484  0.2426 (multiplicity 4)  1 Hg 2.59
Br  0.0000  0.3622  0.7790 (multiplicity 4)  2 O 2.11
O  0.0000  0.1667  0.2633 (multiplicity 4)  2 Br 2.11

The energy above the most stable polymorph in this dataset comes out at 0.089 eV/atom.

=====

# 5
A plane-wave DFT calculation with PBE was carried out for KHg2BrO2 after structural relaxation.

Cell: 6.5696 6.8983 7.9440 Å, 90.00 108.37 90.00°
With the nearest neighbours (Å) after each atom.
Space group P2_1/m (No. 11)
Inequivalent atoms, fractional coordinates:
K  0.0988  0.2500  0.3737 (multiplicity 2)  2 O 2.62
Hg  0.2075  0.2500  0.8823 (multiplicity 2)  2 O 2.00
Hg  0.2809  0.7500  0.0721 (multiplicity 2)  2 O 2.20
Br  0.3455  0.7500  0.4085 (multiplicity 2)  1 Hg 2.57
O  0.1917  0.5384  0.8541 (multiplicity 4)  2 Hg 2.00-2.20

Its total energy is -16.92 eV/f.u.

=====

# 6
A plane-wave DFT calculation with PBE was carried out for KHgBr3O after structural relaxation.

Cell: 4.6085 15.9784 10.9061 Å, 90.00 90.00 90.00°
With the nearest neighbours (Å) after each atom.
Space group Cmc2_1 (No. 36)
Inequivalent atoms, fractional coordinates:
K  0.0000  0.2435  0.0000 (multiplicity 4)  2 O 2.64
Hg  0.0000  0.0118  0.7830 (multiplicity 4)  2 Br 2.50-2.51
Br  0.0000  0.1441  0.3065 (multiplicity 4)  1 Hg 2.50
Br  0.0000  0.1573  0.6975 (multiplicity 4)  1 Hg 2.51
Br  0.0000  0.4476  0.4715 (multiplicity 4)  1 O 1.78
O  0.0000  0.3364  0.4862 (multiplicity 4)  1 Br 1.78

The energy above the most stable polymorph in this dataset comes out at 0.000 eV/atom.

=====

# 7
A plane-wave DFT calculation with PBE was carried out for K2HgBrO after structural relaxation.

Cell: 5.5770 5.5770 4.5679 Å, 90.00 90.00 90.00°
With the nearest neighbours (Å) after each atom.
Space group P4/mmm (No. 123)
Inequivalent atoms, fractional coordinates:
K  0.0000  0.5000  0.0000 (multiplicity 2)  2 O 2.79
Hg  0.0000  0.0000  0.5000 (multiplicity 1)  2 O 2.28
Br  0.5000  0.5000  0.5000 (multiplicity 1)  8 K 3.60, 4 Hg 3.94
O  0.0000  0.0000  0.0000 (multiplicity 1)  2 Hg 2.28

The calculation puts the density of states at the Fermi level at 0.85 states/eV per cell. Its total energy is -14.67 eV/f.u.

=====

# 8
A plane-wave DFT calculation with PBE was carried out for K7HgBr2O2 after structural relaxation.

Cell: 4.8077 25.9829 6.9552 Å, 90.00 90.00 90.00°
With the nearest neighbours (Å) after each atom.
Space group Imm2 (No. 44)
Inequivalent atoms, fractional coordinates:
K  0.0000  0.0000  0.0000 (multiplicity 2)  2 O 2.72
K  0.0000  0.0963  0.5948 (multiplicity 4)  1 O 2.46
K  0.0000  0.2058  0.9276 (multiplicity 4)  1 O 2.66
K  0.0000  0.3874  0.5950 (multiplicity 4)  2 O 2.62
Hg  0.0000  0.5000  0.9393 (multiplicity 2)  8 K 3.63-3.89
Br  0.0000  0.2101  0.4170 (multiplicity 4)  5 K 3.21-3.55
O  0.0000  0.1036  0.9476 (multiplicity 4)  5 K 2.46-2.72

The calculation puts the density of states at the Fermi level at 7.42 states/eV per cell. Its total energy is -33.82 eV/f.u.